! Lu2CuMo, optimized geometry, DFT GGA-PBE; values from VASP
&SYSTEM
  ibrav = 0, nat = 4, ntyp = 3
/
ATOMIC_SPECIES
Cu 63.55 Cu.upf
Lu 174.97 Lu.upf
Mo 95.94 Mo.upf
CELL_PARAMETERS angstrom
0.000 3.371 3.371
3.371 0.000 3.371
3.371 3.371 0.000
ATOMIC_POSITIONS crystal
Cu 0.250 0.250 0.250
Lu 0.000 0.000 0.000
Lu 0.750 0.750 0.750
Mo 0.500 0.500 0.500
! M_tot ... 0.76 μB/f.u.
! Crystal system ... cubic
! E_tot ... -5.487 eV per atom
! Space group ... F-43m, No. 216
! Formation energy ... 0.417 eV per atom